## P
DFT (PBE-GGA) results for ReTc3 after structural relaxation.

volume: 14.72 A^3/atom
N(E_F): 4.25 states/eV/cell
mass density: 13.55 g/cm3

Lattice parameters (Å, degrees): 3.8920 6.1606 2.7479 63.32 90.00 90.00
Last column: nearest neighbours and their distance in Å.
Fractional coordinates of all 4 atoms:
1 Tc 0.5000 0.2510 0.2485  8 Tc 2.74-2.76, 4 Re 2.75-2.76
2 Tc 0.0000 0.5000 0.5000  10 Tc 2.75, 2 Re 2.75
3 Tc 0.5000 0.7490 0.7515  8 Tc 2.74-2.76, 4 Re 2.75-2.76
4 Re 0.0000 0.0000 0.0000  2 Re 2.75, 10 Tc 2.75-2.76


## Q
DFT (PBE-GGA) results for ReTc3 after structural relaxation.

volume: 14.84 A^3/atom
N(E_F): 5.04 states/eV/cell
mass density: 13.44 g/cm3

Lattice parameters (Å, degrees): 4.3783 4.3783 4.3783 60.00 60.00 60.00
Last column: nearest neighbours and their distance in Å.
Fractional coordinates of all 4 atoms:
1 Re 0.0000 0.0000 0.0000  8 Tc 2.68
2 Tc 0.5000 0.5000 0.5000  8 Tc 2.68
3 Tc 0.7500 0.7500 0.7500  4 Re 2.68, 4 Tc 2.68
4 Tc 0.2500 0.2500 0.2500  4 Re 2.68, 4 Tc 2.68


## R
DFT (PBE-GGA) results for ReTc3 after structural relaxation.

volume: 14.75 A^3/atom
N(E_F): 4.93 states/eV/cell
mass density: 13.52 g/cm3

Lattice parameters (Å, degrees): 2.7528 2.7528 9.1269 81.33 81.33 60.00
Last column: nearest neighbours and their distance in Å.
Fractional coordinates of all 4 atoms:
1 Tc 0.2497 0.2497 0.2510  9 Tc 2.75, 3 Re 2.76
2 Tc 0.5000 0.5000 0.5000  12 Tc 2.75
3 Re 0.0000 0.0000 0.0000  6 Re 2.75, 6 Tc 2.76
4 Tc 0.7503 0.7503 0.7490  9 Tc 2.75, 3 Re 2.76


Going by the energies, P is most stable and the next is 7 meV per atom up.


## P
DFT (PBE-GGA) results for ReTc3 after structural relaxation.

volume: 14.73 A^3/atom
N(E_F): 4.03 states/eV/cell
mass density: 13.53 g/cm3

Lattice parameters (Å, degrees): 2.7508 7.7861 2.7508 90.00 90.00 90.00
Last column: nearest neighbours and their distance in Å.
Fractional coordinates of all 4 atoms:
1 Tc 0.5000 0.2499 0.5000  8 Tc 2.75, 4 Re 2.75
2 Re 0.0000 0.0000 0.0000  4 Re 2.75, 8 Tc 2.75
3 Tc 0.0000 0.5000 0.0000  12 Tc 2.75
4 Tc 0.5000 0.7501 0.5000  8 Tc 2.75, 4 Re 2.75


## Q
DFT (PBE-GGA) results for ReTc3 after structural relaxation.

volume: 26.54 A^3/atom
N(E_F): 4.29 states/eV/cell
mass density: 7.51 g/cm3

Lattice parameters (Å, degrees): 4.7353 4.7353 4.7353 90.00 90.00 90.00
Last column: nearest neighbours and their distance in Å.
Fractional coordinates of all 4 atoms:
1 Re 0.0000 0.0000 0.0000  6 Tc 2.37
2 Tc 0.0000 0.5000 0.0000  2 Re 2.37
3 Tc 0.0000 0.0000 0.5000  2 Re 2.37
4 Tc 0.5000 0.0000 0.0000  2 Re 2.37


## R
DFT (PBE-GGA) results for ReTc3 after structural relaxation.

volume: 14.65 A^3/atom
N(E_F): 4.88 states/eV/cell
mass density: 13.60 g/cm3

Lattice parameters (Å, degrees): 4.4329 5.5260 5.5260 120.00 90.00 90.00
Last column: nearest neighbours and their distance in Å.
Fractional coordinates of all 8 atoms:
1 Tc 0.7500 0.1671 0.3341  4 Re 2.73-2.76, 8 Tc 2.73-2.77
2 Tc 0.2500 0.3341 0.1671  4 Re 2.73-2.76, 8 Tc 2.73-2.77
3 Re 0.2500 0.3333 0.6667  12 Tc 2.73-2.76
4 Tc 0.7500 0.1671 0.8329  4 Re 2.73-2.76, 8 Tc 2.73-2.77
5 Tc 0.7500 0.6659 0.8329  4 Re 2.73-2.76, 8 Tc 2.73-2.77
6 Tc 0.2500 0.8329 0.6659  4 Re 2.73-2.76, 8 Tc 2.73-2.77
7 Tc 0.2500 0.8329 0.1671  4 Re 2.73-2.76, 8 Tc 2.73-2.77
8 Re 0.7500 0.6667 0.3333  12 Tc 2.73-2.76


## S
DFT (PBE-GGA) results for ReTc3 after structural relaxation.

volume: 14.86 A^3/atom
N(E_F): 4.92 states/eV/cell
mass density: 13.42 g/cm3

Lattice parameters (Å, degrees): 2.6910 2.6910 8.9788 90.00 90.00 113.95
Last column: nearest neighbours and their distance in Å.
Fractional coordinates of all 4 atoms:
1 Tc 0.0000 0.0000 0.5000  10 Tc 2.67-2.93
2 Tc 0.5000 0.5000 0.7490  8 Tc 2.67-2.93, 2 Re 2.69
3 Tc 0.5000 0.5000 0.2510  8 Tc 2.67-2.93, 2 Re 2.69
4 Re 0.0000 0.0000 0.0000  4 Tc 2.69, 6 Re 2.69-2.93


Going by the energies, R is most stable and the next is 72 meV per atom up.